Entry 1:
## Sm2Ho3Co2 (PBE-GGA)

Data for crystalline Sm2Ho3Co2 at its relaxed geometry.

Results
For the total energy, the calculation gives -5.4889 eV per atom.

Unit cell a=12.1037 b=3.6388 c=8.9492 alpha=90.00 beta=116.36 gamma=90.00
Last column: nearest neighbours and their distance in Å.
Space group C2/m (No. 12)
Unique sites:
Sm: 0.1708 0.0000 0.3021 (multiplicity 4)  2 Co 2.74
Ho: 0.0000 0.5000 0.5000 (multiplicity 2)  4 Co 2.91
Ho: 0.1190 0.5000 0.9251 (multiplicity 4)  3 Co 2.74-2.90
Co: 0.1769 0.0000 0.7427 (multiplicity 4)  5 Ho 2.74-2.91, 2 Sm 2.74

=====

Entry 2:
## SmHo2Co6 (PBE-GGA)

Data for crystalline SmHo2Co6 at its relaxed geometry.

Results
For the total energy, the calculation gives -6.4441 eV per atom.

Unit cell a=6.6694 b=6.6694 c=4.0583 alpha=90.00 beta=90.00 gamma=120.00
Last column: nearest neighbours and their distance in Å.
Space group P6/mmm (No. 191)
Unique sites:
Sm: 0.0000 0.0000 0.0000 (multiplicity 1)  12 Co 3.02
Ho: 0.3333 0.6667 0.0000 (multiplicity 2)  12 Co 3.01
Co: 0.0000 0.3348 0.5000 (multiplicity 6)  3 Co 2.20-2.23

=====

Entry 3:
## Sm3HoCo (PBE-GGA)

Data for crystalline Sm3HoCo at its relaxed geometry.

Results
The calculation puts the relative energy among the computed polymorphs at 161 meV per atom.

Unit cell a=5.3701 b=5.3701 c=5.3701 alpha=90.00 beta=90.00 gamma=90.00
Last column: nearest neighbours and their distance in Å.
Space group Pm-3m (No. 221)
Unique sites:
Sm: 0.0000 0.0000 0.5000 (multiplicity 3)  2 Co 2.69
Ho: 0.5000 0.5000 0.5000 (multiplicity 1)  12 Sm 3.80
Co: 0.0000 0.0000 0.0000 (multiplicity 1)  6 Sm 2.69

=====

Entry 4:
## Sm3HoCo (PBE-GGA)

Data for crystalline Sm3HoCo at its relaxed geometry.

Results
The calculation puts the relative energy among the computed polymorphs at 0 meV per atom.

Unit cell a=11.7000 b=8.4613 c=8.2763 alpha=90.00 beta=134.58 gamma=90.00
Last column: nearest neighbours and their distance in Å.
Space group C2/m (No. 12)
Unique sites:
Sm: 0.0464 0.0000 0.3382 (multiplicity 4)  1 Co 2.59
Sm: 0.2490 0.2967 0.7905 (multiplicity 8)  1 Co 2.58
Ho: 0.0456 0.5000 0.2479 (multiplicity 4)  1 Co 2.56
Co: 0.2486 0.5000 0.1328 (multiplicity 4)  1 Ho 2.56, 3 Sm 2.58-2.59

=====

Entry 5:
## Sm2HoCo (PBE-GGA)

Data for crystalline Sm2HoCo at its relaxed geometry.

Results
The calculation puts the relative energy among the computed polymorphs at 155 meV per atom.

Unit cell a=3.4879 b=3.4879 c=8.7990 alpha=90.00 beta=90.00 gamma=90.00
Last column: nearest neighbours and their distance in Å.
Space group P4/mmm (No. 123)
Unique sites:
Sm: 0.0000 0.0000 0.1890 (multiplicity 2)  4 Co 2.97, 1 Sm 3.33
Ho: 0.5000 0.5000 0.5000 (multiplicity 1)  4 Ho 3.49, 8 Sm 3.68
Co: 0.5000 0.5000 0.0000 (multiplicity 1)  8 Sm 2.97

=====

Entry 6:
## Sm2Ho5Co2 (PBE-GGA)

Data for crystalline Sm2Ho5Co2 at its relaxed geometry.

Results
For the total energy, the calculation gives -5.2470 eV per atom.

Unit cell a=19.6289 b=7.0390 c=7.0038 alpha=90.00 beta=90.00 gamma=90.00
Last column: nearest neighbours and their distance in Å.
Space group Cmce (No. 64)
Unique sites:
Sm: 0.2314 0.0000 0.0000 (multiplicity 8)  6 Ho 3.58-3.68, 4 Sm 3.58-3.59
Ho: 0.0000 0.0000 0.0000 (multiplicity 4)  4 Co 2.83-2.84
Ho: 0.1046 0.1807 0.3226 (multiplicity 16)  3 Co 2.92-2.95
Co: 0.0000 0.1133 0.6104 (multiplicity 8)  1 Co 2.22

=====

no.,volume (Å³ per cell)
1,353.15
2,156.33
3,154.86
4,583.62
5,107.04
6,967.69